Model a:
Material: Cu2GeF
Method: DFT, PBE
State: relaxed

The structure in POSCAR format:
```
Cu2GeF
1.0
-3.177 3.177 2.695
3.177 -3.177 2.695
3.177 3.177 -2.695
Cu Ge F
4 2 2
Direct
0.095 0.625 0.970
0.375 0.345 0.470
0.655 0.125 0.030
0.875 0.905 0.530
0.250 0.750 0.500
0.500 0.500 0.000
0.000 0.000 0.000
0.750 0.250 0.500
```

- Space-group type: I-42d (122)
- ρ: 6.7 Mg/m³

=====

Model b:
Material: Cu2GeF
Method: DFT, PBE
State: relaxed

The structure in POSCAR format:
```
Cu2GeF
1.0
0.000 2.979 2.979
2.979 0.000 2.979
2.979 2.979 0.000
Cu Ge F
2 1 1
Direct
0.250 0.250 0.250
0.750 0.750 0.750
0.000 0.000 0.000
0.500 0.500 0.500
```

- Space-group type: Fm-3m (225)
- ρ: 6.9 Mg/m³

=====

On energetic grounds, model a is preferred over the next structure by 13.4 kJ/mol of atoms.

=====

Model a:
Material: CuGeOF2
Method: DFT, PBE
State: relaxed

The structure in POSCAR format:
```
CuGeOF2
1.0
3.933 0.000 0.000
0.000 3.933 0.000
0.000 0.000 3.953
Cu Ge O F
1 1 1 2
Direct
0.000 0.000 0.000
0.500 0.500 0.500
0.000 0.000 0.500
0.000 0.500 0.000
0.500 0.000 0.000
```

- Space-group type: P4/mmm (123)
- ρ: 5.2 Mg/m³

=====

Model b:
Material: CuGeOF2
Method: DFT, PBE
State: relaxed

The structure in POSCAR format:
```
CuGeOF2
1.0
4.174 0.000 0.000
0.000 4.174 0.000
0.000 0.000 3.767
Cu Ge O F
1 1 1 2
Direct
0.000 0.000 0.000
0.500 0.500 0.500
0.500 0.500 0.000
0.000 0.500 0.500
0.500 0.000 0.500
```

- Space-group type: P4/mmm (123)
- ρ: 4.8 Mg/m³

=====

On energetic grounds, model b is preferred over the next structure by 5.8 kJ/mol of atoms.

=====

Model a:
Material: CuHF2
Method: DFT, PBE
State: relaxed

The structure in POSCAR format:
```
CuHF2
1.0
0.000 2.583 2.583
2.583 0.000 2.583
2.583 2.583 0.000
Cu H F
1 1 2
Direct
0.000 0.000 0.000
0.500 0.500 0.500
0.250 0.250 0.250
0.750 0.750 0.750
```

- Space-group type: Fm-3m (225)
- ρ: 4.9 Mg/m³

=====

Model b:
Material: CuHF2
Method: DFT, PBE
State: relaxed

The structure in POSCAR format:
```
CuHF2
1.0
-2.203 2.203 3.557
2.203 -2.203 3.557
2.203 2.203 -3.557
Cu H F
2 2 4
Direct
0.000 0.000 0.000
0.750 0.250 0.500
0.250 0.750 0.500
0.500 0.500 0.000
0.241 0.625 0.116
0.375 0.491 0.616
0.509 0.125 0.884
0.875 0.759 0.384
```

- Space-group type: I-42d (122)
- ρ: 4.9 Mg/m³

=====

On energetic grounds, model b is preferred over the next structure by 41.7 kJ/mol of atoms.

=====

Model a:
Material: CuHF2
Method: DFT, PBE
State: relaxed

The structure in POSCAR format:
```
CuHF2
1.0
1.327 0.766 5.604
-1.327 0.766 5.604
0.000 -1.532 5.604
Cu H F
1 1 2
Direct
0.000 0.000 0.000
0.500 0.500 0.500
0.111 0.111 0.111
0.889 0.889 0.889
```

- Space-group type: R-3m (166)
- ρ: 5.0 Mg/m³

=====

Model b:
Material: CuHF2
Method: DFT, PBE
State: relaxed

The structure in POSCAR format:
```
CuHF2
1.0
1.534 0.886 5.167
-1.534 0.886 5.167
0.000 -1.771 5.167
Cu H F
1 1 2
Direct
0.000 0.000 0.000
0.500 0.500 0.500
0.426 0.426 0.426
0.574 0.574 0.574
```

- Space-group type: R-3m (166)
- ρ: 4.0 Mg/m³

=====

On energetic grounds, model b is preferred over the next structure by 49.8 kJ/mol of atoms.

=====

Model a:
Material: Cu2HF6
Method: DFT, PBE
State: relaxed

The structure in POSCAR format:
```
Cu2HF6
1.0
4.758 -4.182 0.000
4.758 4.182 0.000
-0.363 0.000 5.487
Cu H F
4 2 12
Direct
0.158 0.335 0.141
0.335 0.158 0.641
0.665 0.842 0.359
0.842 0.665 0.859
0.177 0.823 0.750
0.823 0.177 0.250
0.022 0.692 0.123
0.062 0.712 0.658
0.288 0.938 0.842
0.308 0.978 0.377
0.337 0.371 0.417
0.371 0.337 0.917
0.629 0.663 0.083
0.663 0.629 0.583
0.692 0.022 0.623
0.712 0.062 0.158
0.938 0.288 0.342
0.978 0.308 0.877
```

- Space-group type: C2/c (15)
- ρ: 3.7 Mg/m³

=====

Model b:
Material: Cu2HF6
Method: DFT, PBE
State: relaxed

The structure in POSCAR format:
```
Cu2HF6
1.0
5.353 0.000 0.000
0.976 5.935 0.000
1.308 0.157 7.297
Cu H F
4 2 12
Direct
0.157 0.324 0.109
0.247 0.744 0.263
0.753 0.256 0.737
0.843 0.676 0.891
0.252 0.257 0.714
0.748 0.743 0.286
0.093 0.043 0.203
0.119 0.313 0.635
0.150 0.641 0.018
0.319 0.795 0.487
0.355 0.415 0.269
0.407 0.220 0.856
0.593 0.780 0.144
0.645 0.585 0.731
0.681 0.205 0.513
0.850 0.359 0.982
0.881 0.687 0.365
0.907 0.957 0.797
```

- Space-group type: P-1 (2)
- ρ: 3.5 Mg/m³

=====

On energetic grounds, model a is preferred over the next structure by 3.7 kJ/mol of atoms.

=====

Model a:
Material: CuH2F6
Method: DFT, PBE
State: relaxed

The structure in POSCAR format:
```
CuH2F6
1.0
4.233 -4.462 0.000
4.233 4.462 0.000
-1.915 0.000 5.395
Cu H F
2 4 12
Direct
0.089 0.911 0.750
0.911 0.089 0.250
0.042 0.425 0.714
0.425 0.042 0.214
0.575 0.958 0.786
0.958 0.575 0.286
0.033 0.207 0.602
0.039 0.590 0.803
0.207 0.033 0.102
0.383 0.474 0.437
0.410 0.961 0.697
0.474 0.383 0.937
0.526 0.617 0.063
0.590 0.039 0.303
0.617 0.526 0.563
0.793 0.967 0.898
0.961 0.410 0.197
0.967 0.793 0.398
```

- Space-group type: C2/c (15)
- ρ: 2.9 Mg/m³

=====

Model b:
Material: CuH2F6
Method: DFT, PBE
State: relaxed

The structure in POSCAR format:
```
CuH2F6
1.0
4.960 -4.255 0.000
4.960 4.255 0.000
-0.487 0.000 4.906
Cu H F
2 4 12
Direct
0.094 0.906 0.750
0.906 0.094 0.250
0.349 0.378 0.174
0.378 0.349 0.674
0.622 0.651 0.326
0.651 0.622 0.826
0.042 0.168 0.613
0.134 0.652 0.863
0.168 0.042 0.113
0.304 0.419 0.355
0.348 0.866 0.637
0.419 0.304 0.855
0.581 0.696 0.145
0.652 0.134 0.363
0.696 0.581 0.645
0.832 0.958 0.887
0.866 0.348 0.137
0.958 0.832 0.387
```

- Space-group type: C2/c (15)
- ρ: 2.9 Mg/m³

=====

On energetic grounds, model b is preferred over the next structure by 4.5 kJ/mol of atoms.